No. 1
Compound: ThZn12Ir6
Source: Alexandria
Functional: PBE
Structure: relaxed

DFT formation energy   -0.036 eV per atom
E_tot   -4.03 eV/atom

CIF file:
```
data_ThZn12Ir6
_symmetry_space_group_name_H-M 'R -3 m'
_symmetry_Int_Tables_number 166
_symmetry_space_group_name_Hall '-R 3 2"'
_cell_length_a 11.1053
_cell_length_b 11.1053
_cell_length_c 8.9001
_cell_angle_alpha 90.00
_cell_angle_beta 90.00
_cell_angle_gamma 120.00
loop_
_atom_site_label
_atom_site_type_symbol
_atom_site_fract_x
_atom_site_fract_y
_atom_site_fract_z
Th1 Th 0.0000 0.0000 0.0000
Zn1 Zn 0.0000 0.3906 0.5000
Zn2 Zn 0.0879 0.1758 0.3127
Ir1 Ir 0.0454 0.5227 0.2502
```

=====

No. 2
Compound: Ce7HgIr4
Source: Alexandria
Functional: PBE
Structure: relaxed

DFT formation energy   -0.447 eV per atom
E_tot   -6.89 eV/atom

CIF file:
```
data_Ce7HgIr4
_symmetry_space_group_name_H-M 'C 1 2/m 1'
_symmetry_Int_Tables_number 12
_symmetry_space_group_name_Hall '-C 2y'
_cell_length_a 13.213
_cell_length_b 5.687
_cell_length_c 9.622
_cell_angle_alpha 90.00
_cell_angle_beta 125.25
_cell_angle_gamma 90.00
loop_
_atom_site_label
_atom_site_type_symbol
_atom_site_fract_x
_atom_site_fract_y
_atom_site_fract_z
Ce1 Ce 0.000 0.000 0.000
Ce2 Ce 0.072 0.500 0.378
Ce3 Ce 0.179 0.000 0.622
Ce4 Ce 0.193 0.500 0.880
Hg1 Hg 0.000 0.500 0.000
Ir1 Ir 0.065 0.000 0.773
Ir2 Ir 0.202 0.000 0.330
```

=====

Table of M_tot (Bohr magnetons per cell), in record order: 0.000 8.215